14
Lattice="6.2510 0.0000 0.0000 -3.1255 5.6127 0.0000 0.0000 0.0000 11.2948" Properties=species:S:1:pos:R:3 comment="BaGa2Se4 | Alexandria via LeMat-Bulk | SCAN | single point on PBEsol structure" formation_energy_uncorrected_ev_per_atom=-1.220 magmom_total_mub_per_cell=0.00 dos_at_fermi_per_ev_atom=0.000 energy_ev_per_fu=-161.09 volume_a3_per_cell=396 pbc="T T T"
Se 1.5627 2.8064 3.7885
Se 1.6347 0.9561 0.0000
Se -1.4907 4.6566 5.6474
Se 4.6162 0.9561 5.6474
Se -1.5627 2.8064 1.8589
Se 1.4907 4.6566 0.0000
Se 1.5627 2.8064 7.5063
Se -1.5627 2.8064 9.4358
Ba 3.1255 0.0000 8.4711
Ba 3.1255 0.0000 2.8237
Ga 0.0053 2.7172 5.6474
Ga 3.1308 2.8956 0.0000
Ga -0.0053 2.7172 0.0000
Ga 3.1202 2.8956 5.6474

=====

24
Lattice="4.9890 0.0000 0.0000 0.0000 7.8217 0.0000 0.0000 0.0000 9.4576" Properties=species:S:1:pos:R:3 comment="CsTmMo2O8 | Alexandria via LeMat-Bulk | SCAN | single point on PBEsol structure" formation_energy_uncorrected_ev_per_atom=-2.675 magmom_total_mub_per_cell=0.00 dos_at_fermi_per_ev_atom=0.000 energy_ev_per_fu=-241.36 volume_a3_per_cell=369 pbc="T T T"
O 3.7035 5.3117 7.7062
O 1.9254 0.0000 3.3826
O 1.9254 3.9108 6.0751
O 3.7035 1.4008 1.7514
O 1.2377 3.9108 8.8830
O 3.7035 6.4208 1.7514
O 1.2855 5.3117 1.7514
O 3.0637 3.9108 3.3826
O 3.7513 0.0000 8.8830
O 1.2855 2.5100 1.7514
O 3.7513 3.9108 0.5746
O 1.2377 0.0000 0.5746
O 3.7035 2.5100 7.7062
O 3.0637 0.0000 6.0751
O 1.2855 6.4208 7.7062
O 1.2855 1.4008 7.7062
Mo 2.3778 3.9108 1.8093
Mo 2.3778 0.0000 7.6483
Mo 2.6112 3.9108 7.6483
Mo 2.6112 0.0000 1.8093
Tm 0.0000 5.8663 0.0000
Tm 0.0000 1.9554 0.0000
Cs 0.0000 5.8663 4.7288
Cs 0.0000 1.9554 4.7288

=====

5
Lattice="3.2610 0.0000 0.0000 0.0000 3.2610 0.0000 0.0000 0.0000 4.4179" Properties=species:S:1:pos:R:3 comment="GeH2CS | Alexandria via LeMat-Bulk | SCAN | single point on PBEsol structure" magmom_total_mub_per_cell=0.00 dos_at_fermi_per_ev_atom=0.213 energy_ev_per_fu=-40.44 volume_a3_per_cell=47 pbc="T T T"
H 1.6305 0.0000 0.0000
H 0.0000 1.6305 0.0000
S 1.6305 1.6305 2.2089
Ge 0.0000 0.0000 0.0000
C 0.0000 0.0000 2.2089

=====

4
Lattice="4.2199 0.0000 0.0000 2.1100 3.6545 0.0000 2.1100 1.2182 3.4455" Properties=species:S:1:pos:R:3 comment="ZnGeRh2 | Alexandria via LeMat-Bulk | SCAN | single point on PBEsol structure" magmom_total_mub_per_cell=0.00 dos_at_fermi_per_ev_atom=0.323 energy_ev_per_fu=-102.34 volume_a3_per_cell=53 pbc="T T T"
Ge 4.2199 2.4364 1.7228
Rh 6.3299 3.6545 2.5842
Rh 2.1100 1.2182 0.8614
Zn 0.0000 0.0000 0.0000

=====

8
Lattice="-3.9920 -2.9902 -2.7720 3.7320 -1.1169 -4.1697 1.7111 -2.4998 6.1056" Properties=species:S:1:pos:R:3 comment="SiMoSe2 | Alexandria via LeMat-Bulk | SCAN | single point on PBEsol structure" formation_energy_uncorrected_ev_per_atom=0.473 magmom_total_mub_per_cell=0.00 dos_at_fermi_per_ev_atom=0.389 energy_ev_per_fu=-83.16 volume_a3_per_cell=179 pbc="T T T"
Se 2.2245 -2.7024 -3.1419
Se -1.6939 -3.6814 -2.4823
Se 1.1473 -4.4497 0.2112
Se 1.2245 -2.3803 3.7410
Si -1.2054 -3.7718 -0.0686
Si -0.1300 -2.0536 -3.4708
Mo 2.6566 -2.8351 -0.7674
Mo 0.0000 0.0000 0.0000

=====

4
Lattice="3.4442 0.0000 0.0000 1.7221 2.9828 0.0000 1.7221 0.9943 5.6527" Properties=species:S:1:pos:R:3 comment="BeNiSe2 | Alexandria via LeMat-Bulk | SCAN | single point on PBEsol structure" formation_energy_uncorrected_ev_per_atom=-0.247 magmom_total_mub_per_cell=1.63 dos_at_fermi_per_ev_atom=0.356 energy_ev_per_fu=-61.67 volume_a3_per_cell=58 pbc="T T T"
Be 0.0000 0.0000 0.0000
Ni 3.4442 1.9885 2.8263
Se 5.1663 2.9828 4.2611
Se 1.7221 0.9943 1.3916

=====

5
Lattice="5.0187 0.0000 0.0000 0.0000 5.3982 0.0000 0.0000 0.0000 5.3982" Properties=species:S:1:pos:R:3 comment="Al2SbClF | Alexandria via LeMat-Bulk | SCAN | single point on PBEsol structure" formation_energy_uncorrected_ev_per_atom=0.553 magmom_total_mub_per_cell=0.00 dos_at_fermi_per_ev_atom=0.379 energy_ev_per_fu=-61.52 volume_a3_per_cell=146 pbc="T T T"
Sb 2.5094 0.0000 0.0000
Al 0.0000 0.0000 2.6991
Al 0.0000 2.6991 0.0000
F 2.5094 2.6991 2.6991
Cl 0.0000 0.0000 0.0000

=====

5
Lattice="4.2565 0.0000 0.0000 0.0000 4.2565 0.0000 -2.1283 -2.1283 5.2566" Properties=species:S:1:pos:R:3 comment="YSc2Ni2 | Alexandria via LeMat-Bulk | SCAN | single point on PBEsol structure" magmom_total_mub_per_cell=0.00 dos_at_fermi_per_ev_atom=1.155 relative_energy_mev_per_atom=0 energy_ev_per_fu=-90.33 volume_a3_per_cell=95 pbc="T T T"
Ni 0.0000 0.0000 4.1364
Ni 2.1283 2.1283 1.1202
Sc 0.0000 2.1283 2.6283
Sc 2.1283 0.0000 2.6283
Y 0.0000 0.0000 0.0000

=====

4
Lattice="-3.6189 -1.8525 0.8595 -0.1647 -3.0135 2.8563 -1.8740 0.6912 3.6437" Properties=species:S:1:pos:R:3 comment="MnFe2Ag | Alexandria via LeMat-Bulk | SCAN | single point on PBEsol structure" magmom_total_mub_per_cell=9.11 dos_at_fermi_per_ev_atom=1.127 relative_energy_mev_per_atom=203 energy_ev_per_fu=-84.22 volume_a3_per_cell=51 pbc="T T T"
Fe -4.2432 -3.1310 5.5197
Fe -1.4144 -1.0437 1.8399
Mn -2.8288 -2.0874 3.6798
Ag 0.0000 0.0000 0.0000

=====

28
Lattice="7.6277 0.0000 0.0000 -3.7410 6.6473 0.0000 0.0000 0.0000 9.6404" Properties=species:S:1:pos:R:3 comment="Pr2Al9Ir3 | Alexandria via LeMat-Bulk | SCAN | single point on PBEsol structure" magmom_total_mub_per_cell=0.16 dos_at_fermi_per_ev_atom=0.365 energy_ev_per_fu=-383.37 volume_a3_per_cell=489 pbc="T T T"
Al -1.2238 2.2263 8.9491
Al 2.8875 2.2460 7.2303
Al 1.3017 2.2263 0.4714
Al 2.5849 4.4209 9.1690
Al 0.9992 4.4013 2.4101
Al 1.3463 6.6219 4.1289
Al 3.3455 3.0293 2.4101
Al -1.2238 2.2263 5.5115
Al 0.5054 0.8645 7.2303
Al 1.3463 6.6219 0.6913
Al 2.5404 0.0254 5.5115
Al 5.1105 4.4210 4.1289
Al 5.1105 4.4210 0.6913
Al 2.5404 0.0254 8.9491
Al 1.3017 2.2263 4.3488
Al 2.5849 4.4209 5.2916
Al 0.5412 3.6179 7.2303
Al 3.3812 5.7828 2.4101
Ir 0.0000 0.0000 4.8202
Ir 3.8845 2.1886 4.8202
Ir 0.0000 0.0000 0.0000
Ir 0.0022 4.4586 4.8202
Ir 0.0022 4.4586 0.0000
Ir 3.8845 2.1886 0.0000
Pr 1.3829 6.6145 7.2303
Pr 5.0862 4.4492 7.2303
Pr 2.5038 0.0328 2.4101
Pr -1.1995 2.1981 2.4101

=====

5
Lattice="-4.1609 4.3115 0.1790 -3.7869 -3.7676 2.7202 2.0690 1.7750 5.3388" Properties=species:S:1:pos:R:3 comment="BaCa3Cd | Alexandria via LeMat-Bulk | SCAN | single point on PBEsol structure" magmom_total_mub_per_cell=0.35 dos_at_fermi_per_ev_atom=1.106 energy_ev_per_fu=-99.43 volume_a3_per_cell=215 pbc="T T T"
Ca 1.0345 0.8875 2.6694
Ca -1.8935 -1.8838 1.3601
Ca -2.0805 2.1558 0.0895
Ba -2.9394 1.1595 4.1190
Cd 0.0000 0.0000 0.0000

=====

4
Lattice="-0.6941 4.6885 -0.8700 -3.8595 1.4411 -2.4997 -3.5656 2.3607 2.2214" Properties=species:S:1:pos:R:3 comment="SmAlAg2 | Alexandria via LeMat-Bulk | SCAN | single point on PBEsol structure" magmom_total_mub_per_cell=0.00 dos_at_fermi_per_ev_atom=0.360 energy_ev_per_fu=-116.42 volume_a3_per_cell=79 pbc="T T T"
Ag -2.0298 2.1226 -0.2871
Ag -6.0894 6.3678 -0.8613
Al -4.0596 4.2452 -0.5742
Sm 0.0000 0.0000 0.0000